# Ca2CuTc

Ca2CuTc at its PBEsol-relaxed geometry (SCAN, Alexandria).

- Formation energy from the elements: 520 meV per atom
- Total magnetic moment: 0.0 Bohr magnetons per cell
- Energy above the most stable polymorph in this dataset: 0.087 eV per atom

Cell: 2.9078 3.3992 8.0408 Å, 90.00 90.00 90.00°
With the nearest neighbours (Å) after each atom.
Space group Pmmm (No. 47)
Inequivalent atoms, fractional coordinates:
Ca 0.0000 0.0000 0.2492 [2 per cell]  2 Ca 2.91, 4 Cu 3.00, 4 Tc 3.01
Cu 0.5000 0.5000 0.0000 [1 per cell]  2 Cu 2.91, 8 Ca 3.00
Tc 0.5000 0.5000 0.5000 [1 per cell]  2 Tc 2.91, 8 Ca 3.01